[1]
The following is a DFT calculation (PBE) of Zr3PdC after structural relaxation.

Calculated values
Its total energy is -8.657 eV/atom.

```
Zr3PdC
1.0
1.674 -5.913 0.000
1.674 5.913 0.000
0.000 0.000 9.040
Zr Pd C
6 2 2
Direct
0.374 0.626 0.558
0.056 0.944 0.750
0.626 0.374 0.442
0.944 0.056 0.250
0.626 0.374 0.058
0.374 0.626 0.942
0.252 0.748 0.250
0.748 0.252 0.750
0.000 0.000 0.500
0.000 0.000 0.000
```

---

[2]
The following is a DFT calculation (PBE) of Zr2PdC3 after structural relaxation.

Calculated values
Its total energy is -8.448 eV/atom.

```
Zr2PdC3
1.0
3.353 0.000 0.000
-1.677 2.904 0.000
0.000 0.000 7.448
Zr C Pd
2 3 1
Direct
0.667 0.333 0.315
0.333 0.667 0.685
0.667 0.333 0.854
0.333 0.667 0.146
0.000 0.000 0.500
0.000 0.000 0.000
```

---

[3]
The following is a DFT calculation (PBE) of Pm2C after structural relaxation.

Calculated values
The calculation puts the energy above the most stable polymorph in this dataset at 0.0 meV per atom.

```
Pm2C
1.0
3.161 -1.824 0.000
3.161 1.824 0.000
-0.141 0.000 6.593
Pm C
2 1
Direct
0.338 0.338 0.212
0.662 0.662 0.788
0.000 0.000 0.000
```

---

[4]
The following is a DFT calculation (PBE) of PmC after structural relaxation.

Calculated values
The calculation puts the energy above the most stable polymorph in this dataset at 761.0 meV per atom.

```
PmC
1.0
3.637 0.000 0.000
-1.818 3.149 0.000
0.000 0.000 3.162
Pm C
1 1
Direct
0.333 0.667 0.250
0.667 0.333 0.750
```

---

[5]
The following is a DFT calculation (PBE) of PmC after structural relaxation.

Calculated values
The calculation puts the energy above the most stable polymorph in this dataset at 425.3 meV per atom.

```
PmC
1.0
0.000 2.640 2.640
2.640 0.000 2.640
2.640 2.640 0.000
Pm C
1 1
Direct
0.500 0.500 0.500
0.000 0.000 0.000
```

---

[6]
The following is a DFT calculation (PBE) of Pm2C after structural relaxation.

Calculated values
The calculation puts the energy above the most stable polymorph in this dataset at 1122.5 meV per atom.

```
Pm2C
1.0
-3.810 -6.325 2.327
3.834 -5.785 3.430
-0.994 -1.359 7.557
C Pm
2 4
Direct
0.125 0.125 0.125
0.875 0.875 0.875
0.500 0.000 0.000
0.000 0.000 0.500
0.000 0.000 0.000
0.000 0.500 0.000
```